# 1
# RbCaIn3 (PBE, optimized geometry)
data_RbCaIn3
_chemical_formula_sum 'Rb1 Ca1 In3'
_symmetry_space_group_name_H-M 'P 1'
_symmetry_Int_Tables_number 1
_cell_length_a 6.060
_cell_length_b 6.060
_cell_length_c 6.060
_cell_angle_alpha 90.00
_cell_angle_beta 90.00
_cell_angle_gamma 90.00
loop_
_symmetry_equiv_pos_as_xyz
'x,y,z'
loop_
_atom_site_label
_atom_site_type_symbol
_atom_site_fract_x
_atom_site_fract_y
_atom_site_fract_z
In1 In 0.000 0.000 0.500
In2 In 0.000 0.500 0.000
In3 In 0.500 0.000 0.000
Rb1 Rb 0.500 0.500 0.500
Ca1 Ca 0.000 0.000 0.000
# Energy of formation = 244 meV per atom
# VASP energy = -1.993 eV per atom
# Energy relative to the lowest polymorph listed for this composition = 0.00 eV/f.u.

# 2
# Fe2TePt (PBE, optimized geometry)
data_Fe2TePt
_chemical_formula_sum 'Fe2 Te1 Pt1'
_symmetry_space_group_name_H-M 'P 1'
_symmetry_Int_Tables_number 1
_cell_length_a 4.970
_cell_length_b 4.970
_cell_length_c 4.970
_cell_angle_alpha 135.53
_cell_angle_beta 131.63
_cell_angle_gamma 67.79
loop_
_symmetry_equiv_pos_as_xyz
'x,y,z'
loop_
_atom_site_label
_atom_site_type_symbol
_atom_site_fract_x
_atom_site_fract_y
_atom_site_fract_z
Fe1 Fe 0.773 0.273 0.500
Pt1 Pt 0.512 0.512 0.000
Fe2 Fe 0.976 0.976 0.000
Te1 Te 0.239 0.739 0.500
# Uncorrected formation energy = 187 meV/atom
# VASP energy = -6.340 eV per atom

# 3
# BaNaPrSeO6 (PBE, optimized geometry)
data_BaNaPrSeO6
_chemical_formula_sum 'Ba1 Na1 Pr1 Se1 O6'
_symmetry_space_group_name_H-M 'P 1'
_symmetry_Int_Tables_number 1
_cell_length_a 5.893
_cell_length_b 5.893
_cell_length_c 5.893
_cell_angle_alpha 60.00
_cell_angle_beta 60.00
_cell_angle_gamma 60.00
loop_
_symmetry_equiv_pos_as_xyz
'x,y,z'
loop_
_atom_site_label
_atom_site_type_symbol
_atom_site_fract_x
_atom_site_fract_y
_atom_site_fract_z
Se1 Se 0.500 0.500 0.500
Na1 Na 0.250 0.250 0.250
Ba1 Ba 0.750 0.750 0.750
O1 O 0.720 0.720 0.280
O2 O 0.720 0.280 0.280
O3 O 0.280 0.720 0.720
O4 O 0.720 0.280 0.720
O5 O 0.280 0.280 0.720
Pr1 Pr 0.000 0.000 0.000
O6 O 0.280 0.720 0.280
# Uncorrected formation energy = -1929 meV/atom
# VASP energy = -6.054 eV per atom

Quick rundown of N(E_F), same order as above: 6.783 3.292 0.000 states/eV/f.u.